Record 1
Compound: BeCdP
Source: Alexandria
Functional: GGA-PBEsol
Structure: relaxed

```
data_BeCdP
_cell_length_a 5.7472
_cell_length_b 5.7472
_cell_length_c 5.7472
_cell_angle_alpha 90.00
_cell_angle_beta 90.00
_cell_angle_gamma 90.00
_space_group_name_H-M_alt 'F -4 3 m'
_space_group_IT_number 216
_space_group_name_Hall 'F -4 2 3'
loop_
_atom_site_label
_atom_site_fract_x
_atom_site_fract_y
_atom_site_fract_z
Be1 0.0000 0.0000 0.0000
Cd1 0.2500 0.2500 0.7500
P1 0.2500 0.2500 0.2500
```

Output
formation energy = 281 meV per atom

---

Record 2
Compound: Ba2Mg17
Source: Alexandria
Functional: GGA-PBEsol
Structure: relaxed

```
data_Ba2Mg17
_cell_length_a 10.5338
_cell_length_b 10.5338
_cell_length_c 15.4750
_cell_angle_alpha 90.00
_cell_angle_beta 90.00
_cell_angle_gamma 120.00
_space_group_name_H-M_alt 'R -3 m'
_space_group_IT_number 166
_space_group_name_Hall '-R 3 2"'
loop_
_atom_site_label
_atom_site_fract_x
_atom_site_fract_y
_atom_site_fract_z
Ba1 0.0000 0.0000 0.1625
Mg1 0.0000 0.0000 0.4023
Mg2 0.0000 0.2930 0.5000
Mg3 0.0000 0.5000 0.0000
Mg4 0.0002 0.5001 0.3473
```

Output
formation energy = -69 meV per atom

---

Record 3
Compound: YMnIr2
Source: Alexandria
Functional: GGA-PBEsol
Structure: relaxed

```
data_YMnIr2
_cell_length_a 2.8924
_cell_length_b 2.8924
_cell_length_c 26.5675
_cell_angle_alpha 90.00
_cell_angle_beta 90.00
_cell_angle_gamma 120.00
_space_group_name_H-M_alt 'R -3 m'
_space_group_IT_number 166
_space_group_name_Hall '-R 3 2"'
loop_
_atom_site_label
_atom_site_fract_x
_atom_site_fract_y
_atom_site_fract_z
Y1 0.0000 0.0000 0.0000
Mn1 0.0000 0.0000 0.5000
Ir1 0.0000 0.0000 0.2408
```

Output
formation energy = 158 meV per atom

---

Record 4
Compound: K8SrTe6
Source: Alexandria
Functional: GGA-PBEsol
Structure: relaxed

```
data_K8SrTe6
_cell_length_a 13.5207
_cell_length_b 13.5207
_cell_length_c 6.0401
_cell_angle_alpha 90.00
_cell_angle_beta 90.00
_cell_angle_gamma 90.00
_space_group_name_H-M_alt 'I -4 2 m'
_space_group_IT_number 121
_space_group_name_Hall 'I -4 2'
loop_
_atom_site_label
_atom_site_fract_x
_atom_site_fract_y
_atom_site_fract_z
K1 0.0888 0.2761 0.2380
Sr1 0.0000 0.0000 0.5000
Te1 0.0000 0.5000 0.0000
Te2 0.1519 0.1519 0.7339
```

Output
raw formation energy = -1.0358 eV/atom

---

Record 5
Compound: CoSi3Sb
Source: Alexandria
Functional: GGA-PBEsol
Structure: relaxed

```
data_CoSi3Sb
_cell_length_a 5.0167
_cell_length_b 5.0167
_cell_length_c 5.0167
_cell_angle_alpha 90.00
_cell_angle_beta 90.00
_cell_angle_gamma 90.00
_space_group_name_H-M_alt 'P m -3 m'
_space_group_IT_number 221
_space_group_name_Hall '-P 4 2 3'
loop_
_atom_site_label
_atom_site_fract_x
_atom_site_fract_y
_atom_site_fract_z
Co1 0.0000 0.0000 0.0000
Si1 0.0000 0.5000 0.5000
Sb1 0.5000 0.5000 0.5000
```

Output
raw formation energy = 1.9270 eV/atom

---

Record 6
Compound: GaTeOsBr2
Source: Alexandria
Functional: GGA-PBEsol
Structure: relaxed

```
data_GaTeOsBr2
_cell_length_a 4.8545
_cell_length_b 4.8545
_cell_length_c 5.0838
_cell_angle_alpha 90.00
_cell_angle_beta 90.00
_cell_angle_gamma 90.00
_space_group_name_H-M_alt 'P 4/m m m'
_space_group_IT_number 123
_space_group_name_Hall '-P 4 2'
loop_
_atom_site_label
_atom_site_fract_x
_atom_site_fract_y
_atom_site_fract_z
Ga1 0.0000 0.0000 0.0000
Te1 0.5000 0.5000 0.0000
Os1 0.0000 0.0000 0.5000
Br1 0.0000 0.5000 0.5000
```

Output
raw formation energy = 0.6028 eV/atom

---

Record 7
Compound: Ta2TlTc
Source: Alexandria
Functional: GGA-PBEsol
Structure: relaxed

```
data_Ta2TlTc
_cell_length_a 3.0698
_cell_length_b 3.0698
_cell_length_c 26.9066
_cell_angle_alpha 90.00
_cell_angle_beta 90.00
_cell_angle_gamma 120.00
_space_group_name_H-M_alt 'R 3 m'
_space_group_IT_number 160
_space_group_name_Hall 'R 3 -2"'
loop_
_atom_site_label
_atom_site_fract_x
_atom_site_fract_y
_atom_site_fract_z
Ta1 0.0000 0.0000 0.0000
Ta2 0.0000 0.0000 0.2497
Tl1 0.0000 0.0000 0.7594
Tc1 0.0000 0.0000 0.5128
```

Output
formation energy = 327 meV per atom

---

Record 8
Compound: La2MnHg
Source: Alexandria
Functional: GGA-PBEsol
Structure: relaxed

```
data_La2MnHg
_cell_length_a 3.5245
_cell_length_b 3.5245
_cell_length_c 29.3491
_cell_angle_alpha 90.00
_cell_angle_beta 90.00
_cell_angle_gamma 120.00
_space_group_name_H-M_alt 'R 3 m'
_space_group_IT_number 160
_space_group_name_Hall 'R 3 -2"'
loop_
_atom_site_label
_atom_site_fract_x
_atom_site_fract_y
_atom_site_fract_z
La1 0.0000 0.0000 0.0000
La2 0.0000 0.0000 0.2294
Mn1 0.0000 0.0000 0.7455
Hg1 0.0000 0.0000 0.4748
```

Output
formation energy = 251 meV per atom

---

Record 9
Compound: Hg2BiTeMo
Source: Alexandria
Functional: GGA-PBEsol
Structure: relaxed

```
data_Hg2BiTeMo
_cell_length_a 5.4143
_cell_length_b 5.4143
_cell_length_c 5.9848
_cell_angle_alpha 90.00
_cell_angle_beta 90.00
_cell_angle_gamma 90.00
_space_group_name_H-M_alt 'P 4/m m m'
_space_group_IT_number 123
_space_group_name_Hall '-P 4 2'
loop_
_atom_site_label
_atom_site_fract_x
_atom_site_fract_y
_atom_site_fract_z
Hg1 0.0000 0.5000 0.0000
Bi1 0.0000 0.0000 0.5000
Te1 0.0000 0.0000 0.0000
Mo1 0.5000 0.5000 0.5000
```

Output
raw formation energy = 1.3891 eV/atom

---

Record 10
Compound: Co2AgSb
Source: Alexandria
Functional: GGA-PBEsol
Structure: relaxed

```
data_Co2AgSb
_cell_length_a 2.9719
_cell_length_b 3.1343
_cell_length_c 6.6767
_cell_angle_alpha 90.00
_cell_angle_beta 90.00
_cell_angle_gamma 90.00
_space_group_name_H-M_alt 'P m m 2'
_space_group_IT_number 25
_space_group_name_Hall 'P 2 -2'
loop_
_atom_site_label
_atom_site_fract_x
_atom_site_fract_y
_atom_site_fract_z
Co1 0.0000 0.0000 0.0000
Co2 0.5000 0.5000 0.1568
Ag1 0.5000 0.5000 0.7544
Sb1 0.0000 0.0000 0.4031
```

Output
raw formation energy = 0.3017 eV/atom

---

Record 11
Compound: Y3Al4
Source: Alexandria
Functional: GGA-PBEsol
Structure: relaxed

```
data_Y3Al4
_cell_length_a 3.3375
_cell_length_b 3.3375
_cell_length_c 27.6468
_cell_angle_alpha 90.00
_cell_angle_beta 90.00
_cell_angle_gamma 90.00
_space_group_name_H-M_alt 'I 4/m m m'
_space_group_IT_number 139
_space_group_name_Hall '-I 4 2'
loop_
_atom_site_label
_atom_site_fract_x
_atom_site_fract_y
_atom_site_fract_z
Y1 0.0000 0.0000 0.0000
Y2 0.0000 0.0000 0.2996
Al1 0.0000 0.0000 0.1263
Al2 0.0000 0.0000 0.4247
```

Output
formation energy = -238 meV per atom

---

Record 12
Compound: Mn2SeCl
Source: Alexandria
Functional: GGA-PBEsol
Structure: relaxed

```
data_Mn2SeCl
_cell_length_a 3.1463
_cell_length_b 3.1463
_cell_length_c 6.5124
_cell_angle_alpha 90.00
_cell_angle_beta 90.00
_cell_angle_gamma 90.00
_space_group_name_H-M_alt 'P 4/m m m'
_space_group_IT_number 123
_space_group_name_Hall '-P 4 2'
loop_
_atom_site_label
_atom_site_fract_x
_atom_site_fract_y
_atom_site_fract_z
Mn1 0.0000 0.0000 0.2169
Se1 0.5000 0.5000 0.0000
Cl1 0.5000 0.5000 0.5000
```

Output
raw formation energy = 0.0567 eV/atom

---

Record 13
Compound: LaCo2Te
Source: Alexandria
Functional: GGA-PBEsol
Structure: relaxed

```
data_LaCo2Te
_cell_length_a 3.8218
_cell_length_b 4.0141
_cell_length_c 10.7422
_cell_angle_alpha 90.00
_cell_angle_beta 90.00
_cell_angle_gamma 90.00
_space_group_name_H-M_alt 'I m m 2'
_space_group_IT_number 44
_space_group_name_Hall 'I 2 -2'
loop_
_atom_site_label
_atom_site_fract_x
_atom_site_fract_y
_atom_site_fract_z
La1 0.0000 0.0000 0.0000
Co1 0.0000 0.0000 0.6106
Co2 0.0000 0.5000 0.2182
Te1 0.0000 0.5000 0.7583
```

Output
raw formation energy = -0.0742 eV/atom

---

Record 14
Compound: Ca2TiWO6
Source: Alexandria
Functional: GGA-PBEsol
Structure: relaxed

```
data_Ca2TiWO6
_cell_length_a 5.3988
_cell_length_b 5.5179
_cell_length_c 9.3944
_cell_angle_alpha 90.00
_cell_angle_beta 125.00
_cell_angle_gamma 90.00
_space_group_name_H-M_alt 'P 1 21/c 1'
_space_group_IT_number 14
_space_group_name_Hall '-P 2ybc'
loop_
_atom_site_label
_atom_site_fract_x
_atom_site_fract_y
_atom_site_fract_z
Ca1 0.2406 0.0463 0.2493
Ti1 0.0000 0.0000 0.5000
W1 0.5000 0.0000 0.0000
O1 0.1681 0.2070 0.9616
O2 0.2561 0.7092 0.9604
O3 0.3243 0.0182 0.7505
```

Output
raw formation energy = -2.8154 eV/atom

---

Record 15
Compound: Tl2PRh
Source: Alexandria
Functional: GGA-PBEsol
Structure: relaxed

```
data_Tl2PRh
_cell_length_a 3.8958
_cell_length_b 3.8958
_cell_length_c 20.6793
_cell_angle_alpha 90.00
_cell_angle_beta 90.00
_cell_angle_gamma 120.00
_space_group_name_H-M_alt 'R 3 m'
_space_group_IT_number 160
_space_group_name_Hall 'R 3 -2"'
loop_
_atom_site_label
_atom_site_fract_x
_atom_site_fract_y
_atom_site_fract_z
Tl1 0.0000 0.0000 0.0000
Tl2 0.0000 0.0000 0.2096
P1 0.0000 0.0000 0.7700
Rh1 0.0000 0.0000 0.4397
```

Output
formation energy = -124 meV per atom

---

Record 16
Compound: Ta3CoB
Source: Alexandria
Functional: GGA-PBEsol
Structure: relaxed

```
data_Ta3CoB
_cell_length_a 4.2408
_cell_length_b 4.2408
_cell_length_c 4.2408
_cell_angle_alpha 90.00
_cell_angle_beta 90.00
_cell_angle_gamma 90.00
_space_group_name_H-M_alt 'P m -3 m'
_space_group_IT_number 221
_space_group_name_Hall '-P 4 2 3'
loop_
_atom_site_label
_atom_site_fract_x
_atom_site_fract_y
_atom_site_fract_z
Ta1 0.0000 0.0000 0.5000
Co1 0.5000 0.5000 0.5000
B1 0.0000 0.0000 0.0000
```

Output
formation energy = 224 meV per atom

---

Record 17
Compound: Sc2CdGa
Source: Alexandria
Functional: GGA-PBEsol
Structure: relaxed

```
data_Sc2CdGa
_cell_length_a 6.7857
_cell_length_b 6.7857
_cell_length_c 6.7857
_cell_angle_alpha 90.00
_cell_angle_beta 90.00
_cell_angle_gamma 90.00
_space_group_name_H-M_alt 'F m -3 m'
_space_group_IT_number 225
_space_group_name_Hall '-F 4 2 3'
loop_
_atom_site_label
_atom_site_fract_x
_atom_site_fract_y
_atom_site_fract_z
Sc1 0.2500 0.2500 0.2500
Cd1 0.0000 0.0000 0.0000
Ga1 0.0000 0.0000 0.5000
```

Output
formation energy = -487 meV per atom

---

Record 18
Compound: Tl3MoPt
Source: Alexandria
Functional: GGA-PBEsol
Structure: relaxed

```
data_Tl3MoPt
_cell_length_a 5.2170
_cell_length_b 5.2170
_cell_length_c 5.2170
_cell_angle_alpha 90.00
_cell_angle_beta 90.00
_cell_angle_gamma 90.00
_space_group_name_H-M_alt 'P m -3 m'
_space_group_IT_number 221
_space_group_name_Hall '-P 4 2 3'
loop_
_atom_site_label
_atom_site_fract_x
_atom_site_fract_y
_atom_site_fract_z
Tl1 0.0000 0.0000 0.5000
Mo1 0.0000 0.0000 0.0000
Pt1 0.5000 0.5000 0.5000
```

Output
formation energy = 1312 meV per atom

---

Record 19
Compound: Li2H2Pt
Source: Alexandria
Functional: GGA-PBEsol
Structure: relaxed

```
data_Li2H2Pt
_cell_length_a 3.0799
_cell_length_b 3.0799
_cell_length_c 10.0869
_cell_angle_alpha 90.00
_cell_angle_beta 90.00
_cell_angle_gamma 90.00
_space_group_name_H-M_alt 'I 4/m m m'
_space_group_IT_number 139
_space_group_name_Hall '-I 4 2'
loop_
_atom_site_label
_atom_site_fract_x
_atom_site_fract_y
_atom_site_fract_z
Li1 0.0000 0.0000 0.1393
H1 0.0000 0.0000 0.3357
Pt1 0.0000 0.0000 0.5000
```

---

Record 20
Compound: BaTlSb2
Source: Alexandria
Functional: GGA-PBEsol
Structure: relaxed

```
data_BaTlSb2
_cell_length_a 8.5767
_cell_length_b 8.5767
_cell_length_c 7.3523
_cell_angle_alpha 90.00
_cell_angle_beta 90.00
_cell_angle_gamma 90.00
_space_group_name_H-M_alt 'I -4 2 d'
_space_group_IT_number 122
_space_group_name_Hall 'I -4 2bw'
loop_
_atom_site_label
_atom_site_fract_x
_atom_site_fract_y
_atom_site_fract_z
Ba1 0.0000 0.0000 0.0000
Tl1 0.0000 0.0000 0.5000
Sb1 0.2013 0.2500 0.6250
```

Output
raw formation energy = -0.3262 eV/atom

---

Record 21
Compound: Os
Source: Alexandria
Functional: GGA-PBEsol
Structure: relaxed

```
data_Os
_cell_length_a 2.7286
_cell_length_b 2.7286
_cell_length_c 4.3172
_cell_angle_alpha 90.00
_cell_angle_beta 90.00
_cell_angle_gamma 120.00
_space_group_name_H-M_alt 'P 63/m m c'
_space_group_IT_number 194
_space_group_name_Hall '-P 6c 2c'
loop_
_atom_site_label
_atom_site_fract_x
_atom_site_fract_y
_atom_site_fract_z
Os1 0.3333 0.6667 0.2500
```

Output
formation energy = 0 meV per atom

---

Record 22
Compound: RePHCl2
Source: Alexandria
Functional: GGA-PBEsol
Structure: relaxed

```
data_RePHCl2
_cell_length_a 4.8112
_cell_length_b 4.8112
_cell_length_c 4.5260
_cell_angle_alpha 90.00
_cell_angle_beta 90.00
_cell_angle_gamma 90.00
_space_group_name_H-M_alt 'P 4/m m m'
_space_group_IT_number 123
_space_group_name_Hall '-P 4 2'
loop_
_atom_site_label
_atom_site_fract_x
_atom_site_fract_y
_atom_site_fract_z
Re1 0.0000 0.0000 0.0000
P1 0.0000 0.0000 0.5000
H1 0.5000 0.5000 0.5000
Cl1 0.0000 0.5000 0.0000
```

---

Record 23
Compound: Cs2AgSbCl6
Source: Alexandria
Functional: GGA-PBEsol
Structure: relaxed

```
data_Cs2AgSbCl6
_cell_length_a 10.5588
_cell_length_b 10.5588
_cell_length_c 10.5588
_cell_angle_alpha 90.00
_cell_angle_beta 90.00
_cell_angle_gamma 90.00
_space_group_name_H-M_alt 'F m -3 m'
_space_group_IT_number 225
_space_group_name_Hall '-F 4 2 3'
loop_
_atom_site_label
_atom_site_fract_x
_atom_site_fract_y
_atom_site_fract_z
Cs1 0.2500 0.2500 0.2500
Ag1 0.0000 0.0000 0.0000
Sb1 0.0000 0.0000 0.5000
Cl1 0.0000 0.0000 0.2502
```

Output
raw formation energy = -1.2892 eV/atom

---

Record 24
Compound: SrSbTe2N
Source: Alexandria
Functional: GGA-PBEsol
Structure: relaxed

```
data_SrSbTe2N
_cell_length_a 5.8498
_cell_length_b 5.8498
_cell_length_c 4.0237
_cell_angle_alpha 90.00
_cell_angle_beta 90.00
_cell_angle_gamma 90.00
_space_group_name_H-M_alt 'P 4/m m m'
_space_group_IT_number 123
_space_group_name_Hall '-P 4 2'
loop_
_atom_site_label
_atom_site_fract_x
_atom_site_fract_y
_atom_site_fract_z
Sr1 0.0000 0.0000 0.0000
Sb1 0.5000 0.5000 0.5000
Te1 0.0000 0.5000 0.5000
N1 0.5000 0.5000 0.0000
```

Output
raw formation energy = -0.0358 eV/atom

---

Record 25
Compound: K2BaTe
Source: Alexandria
Functional: GGA-PBEsol
Structure: relaxed

```
data_K2BaTe
_cell_length_a 5.1454
_cell_length_b 5.1454
_cell_length_c 6.5842
_cell_angle_alpha 90.00
_cell_angle_beta 90.00
_cell_angle_gamma 90.00
_space_group_name_H-M_alt 'P 4/m m m'
_space_group_IT_number 123
_space_group_name_Hall '-P 4 2'
loop_
_atom_site_label
_atom_site_fract_x
_atom_site_fract_y
_atom_site_fract_z
K1 0.0000 0.5000 0.0000
Ba1 0.0000 0.0000 0.5000
Te1 0.5000 0.5000 0.5000
```

Output
raw formation energy = -0.6070 eV/atom

---

| no. | total DFT energy (no corrections) (eV/atom) | density (Mg/m³) |
| --- | --- | --- |
| 1 | -3.3816 | 5.33 |
| 2 | -1.8320 | 2.30 |
| 3 | -8.8994 | 13.67 |
| 4 | -3.1734 | 3.51 |
| 5 | -3.9799 | 3.48 |
| 6 | -3.9615 | 7.59 |
| 7 | -9.4230 | 15.07 |
| 8 | -5.0042 | 8.42 |
| 9 | -2.7535 | 7.89 |
| 10 | -5.5340 | 9.28 |
| 11 | -5.4998 | 4.04 |
| 12 | -6.2884 | 5.78 |
| 13 | -6.1608 | 7.75 |
| 14 | -8.6046 | 5.91 |
| 15 | -4.9212 | 9.95 |
| 16 | -10.2577 | 13.34 |
| 17 | -4.9239 | 5.78 |
| 18 | -4.0123 | 10.57 |
| 19 | -3.9914 | 7.32 |
| 20 | -3.7997 | 7.19 |
| 21 | -12.2159 | 22.70 |
| 22 | -4.6026 | 4.58 |
| 23 | -3.4693 | 4.00 |
| 24 | -4.4311 | 5.77 |
| 25 | -2.5924 | 3.27 |